Entry from Alexandria: crystalline ZrTaAu2 at its relaxed geometry (GGA-PBE).

Properties
**Calculated formation energy**: -0.0356 eV per atom
**Calculated volume**: 18.964 Å³/atom

abc: 10.0331 3.0228 5.0953
angles: 90.00 100.96 90.00
Last column: nearest neighbours and their distance in Å.
Element x y z (fractional)
Zr 0.0000 0.0000 0.0000  4 Ta 2.96, 6 Au 2.99-3.05, 2 Zr 3.02
Zr 0.5000 0.5000 0.0000  4 Ta 2.96, 6 Au 2.99-3.05, 2 Zr 3.02
Ta 0.0000 0.5000 0.5000  6 Au 2.94-3.05, 4 Zr 2.96, 2 Ta 3.02
Ta 0.5000 0.0000 0.5000  6 Au 2.94-3.05, 4 Zr 2.96, 2 Ta 3.02
Au 0.2440 0.0000 0.7422  6 Au 2.92-3.02, 3 Ta 2.94-3.05, 3 Zr 2.99-3.05
Au 0.2560 0.5000 0.2578  6 Au 2.92-3.02, 3 Ta 2.94-3.05, 3 Zr 2.99-3.05
Au 0.7440 0.5000 0.7422  6 Au 2.92-3.02, 3 Ta 2.94-3.05, 3 Zr 2.99-3.05
Au 0.7560 0.0000 0.2578  6 Au 2.92-3.02, 3 Ta 2.94-3.05, 3 Zr 2.99-3.05